Entry 1:
CaBe2Zn | PBE-GGA | optimized geometry

Formation enthalpy at 0 K   326 meV/atom
Total energy   -2.355 eV per atom
Magnetic moment   0.0000 μB per atom
SG   No. 47
Volume   15.5 A^3/atom

abc: 2.8838 3.1646 6.8054
angles: 90.00 90.00 90.00
Closest atoms and distances in Å follow each position.
Fractional coordinates of all 4 atoms:
1 Ca 0.5000 0.5000 0.2500  4 Ca 2.88-3.16, 8 Be 3.05
2 Be 0.0000 0.0000 0.5686  1 Be 2.47, 4 Zn 2.47
3 Be 0.0000 0.0000 0.9314  1 Be 2.47, 4 Zn 2.47
4 Zn 0.5000 0.5000 0.7500  8 Be 2.47


Entry 2:
CaBeZn11 | PBE-GGA | optimized geometry

Formation enthalpy at 0 K   -100 meV/atom
Total energy   -1.618 eV per atom
Magnetic moment   0.0000 μB per atom
SG   No. 12
Volume   15.5 A^3/atom

abc: 5.1572 6.7347 6.7417
angles: 81.84 67.51 68.22
Closest atoms and distances in Å follow each position.
Fractional coordinates of all 13 atoms:
1 Ca 0.0000 0.0000 0.0000  18 Zn 3.11-3.37, 2 Be 3.40
2 Zn 0.7075 0.7746 0.7856  1 Be 2.49, 6 Zn 2.57-2.73
3 Zn 0.4931 0.7746 0.2144  1 Be 2.49, 6 Zn 2.57-2.73
4 Zn 0.2925 0.2254 0.2144  1 Be 2.49, 6 Zn 2.57-2.73
5 Zn 0.3615 0.6418 0.6539  7 Zn 2.61-2.86, 1 Be 2.65
6 Zn 0.5000 0.0000 0.5000  10 Zn 2.58-2.79
7 Zn 0.5069 0.2254 0.7856  1 Be 2.49, 6 Zn 2.57-2.73
8 Zn 0.0000 0.0000 0.5000  10 Zn 2.58-2.79
9 Zn 0.0000 0.5000 0.0000  8 Zn 2.57-2.68, 2 Be 2.58
10 Zn 0.9846 0.3582 0.6539  7 Zn 2.61-2.86, 1 Be 2.65
11 Zn 0.0154 0.6418 0.3461  7 Zn 2.61-2.86, 1 Be 2.65
12 Zn 0.6385 0.3582 0.3461  7 Zn 2.61-2.86, 1 Be 2.65
13 Be 0.5000 0.5000 0.0000  10 Zn 2.49-2.65


Entry 3:
CaBe2Zn | PBE-GGA | optimized geometry

Formation enthalpy at 0 K   521 meV/atom
Total energy   -2.161 eV per atom
Magnetic moment   0.0000 μB per atom
SG   No. 123
Volume   17.2 A^3/atom

abc: 4.1208 4.1236 4.0371
angles: 90.00 90.00 90.00
Closest atoms and distances in Å follow each position.
Fractional coordinates of all 4 atoms:
1 Be 0.5000 0.5000 0.0000  4 Zn 2.88, 4 Ca 2.89, 4 Be 2.91
2 Be 0.0000 0.0000 0.0000  4 Ca 2.88, 4 Zn 2.89, 4 Be 2.91
3 Zn 0.0000 0.5000 0.5000  8 Be 2.88-2.89, 4 Ca 2.91
4 Ca 0.5000 0.0000 0.5000  8 Be 2.88-2.89, 4 Zn 2.91


Entry 4:
Ca3BeZn | PBE-GGA | optimized geometry

Formation enthalpy at 0 K   332 meV/atom
Total energy   -1.868 eV per atom
Polymorph energy (0 for the lowest one)   0.000 eV per formula unit
Magnetic moment   0.0000 μB per atom
SG   No. 221
Volume   33.5 A^3/atom

abc: 5.5109 5.5109 5.5109
angles: 90.00 90.00 90.00
Closest atoms and distances in Å follow each position.
Fractional coordinates of all 5 atoms:
1 Zn 0.5000 0.5000 0.5000  12 Ca 3.90
2 Ca 0.0000 0.5000 0.0000  2 Be 2.76
3 Ca 0.0000 0.0000 0.5000  2 Be 2.76
4 Ca 0.5000 0.0000 0.0000  2 Be 2.76
5 Be 0.0000 0.0000 0.0000  6 Ca 2.76


Entry 5:
CaZr3Be | PBE-GGA | optimized geometry

Formation enthalpy at 0 K   1933 meV/atom
Total energy   -4.341 eV per atom
Polymorph energy (0 for the lowest one)   7.684 eV per formula unit
Magnetic moment   0.0000 μB per atom
SG   No. 221
Volume   25.1 A^3/atom

abc: 5.0054 5.0054 5.0054
angles: 90.00 90.00 90.00
Closest atoms and distances in Å follow each position.
Fractional coordinates of all 5 atoms:
1 Zr 0.5000 0.0000 0.0000  2 Ca 2.50
2 Zr 0.0000 0.5000 0.0000  2 Ca 2.50
3 Zr 0.0000 0.0000 0.5000  2 Ca 2.50
4 Ca 0.0000 0.0000 0.0000  6 Zr 2.50
5 Be 0.5000 0.5000 0.5000  12 Zr 3.54


Entry 6:
Ca2ZrBe | PBE-GGA | optimized geometry

Formation enthalpy at 0 K   350 meV/atom
Total energy   -3.719 eV per atom
Magnetic moment   0.0000 μB per atom
SG   No. 71
Volume   28.1 A^3/atom

abc: 8.7293 8.7293 8.7293
angles: 158.12 153.01 35.01
Closest atoms and distances in Å follow each position.
Fractional coordinates of all 4 atoms:
1 Be 0.2500 0.7500 0.5000  4 Zr 2.63
2 Ca 0.0908 0.0908 0.0000  2 Be 3.13, 2 Ca 3.31, 2 Zr 3.34
3 Ca 0.4092 0.4092 0.0000  2 Be 3.13, 2 Ca 3.31, 2 Zr 3.34
4 Zr 0.7500 0.2500 0.5000  4 Be 2.63